1.
A relaxed Y6HoCd crystal, computed with PBE.

Computed properties:
Formation enthalpy at 0 K ... 38.5 meV/atom
Crystal system ... trigonal

```
data_Y6HoCd
_chemical_formula_sum 'Y18 Ho3 Cd3'
_symmetry_space_group_name_H-M 'R -3'
_symmetry_Int_Tables_number 148
_symmetry_space_group_name_Hall '-R 3'
_cell_length_a 9.2891
_cell_length_b 9.2891
_cell_length_c 10.0382
_cell_angle_alpha 90.00
_cell_angle_beta 90.00
_cell_angle_gamma 120.00
loop_
_atom_site_label
_atom_site_type_symbol
_atom_site_fract_x
_atom_site_fract_y
_atom_site_fract_z
Y1 Y 0.0247 0.2571 0.2167
Ho1 Ho 0.0000 0.0000 0.5000
Cd1 Cd 0.0000 0.0000 0.0000
```

2.
A relaxed Y2Ho8Cd crystal, computed with PBE.

Computed properties:
Formation enthalpy at 0 K ... 187.1 meV/atom
Crystal system ... monoclinic

```
data_Y2Ho8Cd
_chemical_formula_sum 'Y4 Ho16 Cd2'
_symmetry_space_group_name_H-M 'C 1 2/m 1'
_symmetry_Int_Tables_number 12
_cell_length_a 15.326
_cell_length_b 7.533
_cell_length_c 6.426
_cell_angle_alpha 90.00
_cell_angle_beta 108.18
_cell_angle_gamma 90.00
loop_
_symmetry_equiv_pos_as_xyz
'x,y,z'
'-x,-y,-z'
'-x,y,-z'
'x,-y,z'
'x+1/2,y+1/2,z'
'-x+1/2,-y+1/2,-z'
'-x+1/2,y+1/2,-z'
'x+1/2,-y+1/2,z'
loop_
_atom_site_label
_atom_site_type_symbol
_atom_site_fract_x
_atom_site_fract_y
_atom_site_fract_z
Y1 Y 0.117 0.000 0.476
Ho1 Ho 0.062 0.298 0.772
Ho2 Ho 0.148 0.500 0.302
Ho3 Ho 0.223 0.000 0.085
Cd1 Cd 0.000 0.000 0.000
```

3.
A relaxed Y4HoCd3 crystal, computed with PBE.

Computed properties:
Formation enthalpy at 0 K ... -194.5 meV/atom
Crystal system ... trigonal

```
data_Y4HoCd3
_chemical_formula_sum 'Y12 Ho3 Cd9'
_symmetry_space_group_name_H-M 'R -3 m'
_symmetry_Int_Tables_number 166
_symmetry_space_group_name_Hall '-R 3 2"'
_cell_length_a 5.3528
_cell_length_b 5.3528
_cell_length_c 26.8977
_cell_angle_alpha 90.00
_cell_angle_beta 90.00
_cell_angle_gamma 120.00
loop_
_atom_site_label
_atom_site_type_symbol
_atom_site_fract_x
_atom_site_fract_y
_atom_site_fract_z
Y1 Y 0.0000 0.0000 0.1150
Y2 Y 0.0000 0.0000 0.3700
Ho1 Ho 0.0000 0.0000 0.5000
Cd1 Cd 0.0000 0.0000 0.0000
Cd2 Cd 0.0000 0.0000 0.2403
```

4.
A relaxed Y8Ho6Cd crystal, computed with PBE.

Computed properties:
Formation enthalpy at 0 K ... 99.8 meV/atom
Crystal system ... trigonal

```
data_Y8Ho6Cd
_chemical_formula_sum 'Y8 Ho6 Cd1'
_symmetry_space_group_name_H-M 'P -3'
_symmetry_Int_Tables_number 147
_cell_length_a 9.5004
_cell_length_b 9.5004
_cell_length_c 6.1367
_cell_angle_alpha 90.00
_cell_angle_beta 90.00
_cell_angle_gamma 120.00
loop_
_symmetry_equiv_pos_as_xyz
'x,y,z'
'-x,-y,-z'
'-y,x-y,z'
'y,-x+y,-z'
'-x+y,-x,z'
'x-y,x,-z'
loop_
_atom_site_label
_atom_site_type_symbol
_atom_site_fract_x
_atom_site_fract_y
_atom_site_fract_z
Y1 Y 0.0403 0.7747 0.3011
Y2 Y 0.3333 0.6667 0.3004
Ho1 Ho 0.0931 0.6318 0.8034
Cd1 Cd 0.0000 0.0000 0.0000
```

5.
A relaxed Y2HoCd crystal, computed with PBE.

Computed properties:
Formation enthalpy at 0 K ... -75.9 meV/atom
Crystal system ... trigonal
Relative energy among the computed polymorphs ... 77 meV/atom

```
data_Y2HoCd
_chemical_formula_sum 'Y6 Ho3 Cd3'
_symmetry_space_group_name_H-M 'R -3 m'
_symmetry_Int_Tables_number 166
_symmetry_space_group_name_Hall '-R 3 2"'
_cell_length_a 3.5791
_cell_length_b 3.5791
_cell_length_c 32.3475
_cell_angle_alpha 90.00
_cell_angle_beta 90.00
_cell_angle_gamma 120.00
loop_
_atom_site_label
_atom_site_type_symbol
_atom_site_fract_x
_atom_site_fract_y
_atom_site_fract_z
Y1 Y 0.0000 0.0000 0.2445
Ho1 Ho 0.0000 0.0000 0.0000
Cd1 Cd 0.0000 0.0000 0.5000
```

6.
A relaxed Y8HoCd2 crystal, computed with PBE.

Computed properties:
Formation enthalpy at 0 K ... 21.3 meV/atom
Crystal system ... monoclinic

```
data_Y8HoCd2
_chemical_formula_sum 'Y16 Ho2 Cd4'
_symmetry_space_group_name_H-M 'C 1 2/m 1'
_symmetry_Int_Tables_number 12
_cell_length_a 8.879
_cell_length_b 15.010
_cell_length_c 5.594
_cell_angle_alpha 90.00
_cell_angle_beta 111.85
_cell_angle_gamma 90.00
loop_
_symmetry_equiv_pos_as_xyz
'x,y,z'
'-x,-y,-z'
'-x,y,-z'
'x,-y,z'
'x+1/2,y+1/2,z'
'-x+1/2,-y+1/2,-z'
'-x+1/2,y+1/2,-z'
'x+1/2,-y+1/2,z'
loop_
_atom_site_label
_atom_site_type_symbol
_atom_site_fract_x
_atom_site_fract_y
_atom_site_fract_z
Y1 Y 0.000 0.222 0.000
Y2 Y 0.102 0.500 0.799
Y3 Y 0.206 0.114 0.611
Ho1 Ho 0.000 0.000 0.000
Cd1 Cd 0.000 0.307 0.500
```

7.
A relaxed Y6HoCd5 crystal, computed with PBE.

Computed properties:
Formation enthalpy at 0 K ... -240.3 meV/atom
Crystal system ... orthorhombic

```
data_Y6HoCd5
_chemical_formula_sum 'Y12 Ho2 Cd10'
_symmetry_space_group_name_H-M 'I m m m'
_symmetry_Int_Tables_number 71
_symmetry_space_group_name_Hall '-I 2 2'
_cell_length_a 5.265
_cell_length_b 7.780
_cell_length_c 16.001
_cell_angle_alpha 90.00
_cell_angle_beta 90.00
_cell_angle_gamma 90.00
loop_
_atom_site_label
_atom_site_type_symbol
_atom_site_fract_x
_atom_site_fract_y
_atom_site_fract_z
Y1 Y 0.000 0.231 0.000
Y2 Y 0.000 0.256 0.329
Ho1 Ho 0.000 0.000 0.500
Cd1 Cd 0.000 0.000 0.169
Cd2 Cd 0.000 0.500 0.153
Cd3 Cd 0.000 0.500 0.500
```

8.
A relaxed YHo2Cd crystal, computed with PBE.

Computed properties:
Formation enthalpy at 0 K ... 6.3 meV/atom
Crystal system ... cubic
Relative energy among the computed polymorphs ... 164 meV/atom

```
data_YHo2Cd
_chemical_formula_sum 'Y4 Ho8 Cd4'
_symmetry_space_group_name_H-M 'F m -3 m'
_symmetry_Int_Tables_number 225
_symmetry_space_group_name_Hall '-F 4 2 3'
_cell_length_a 7.684
_cell_length_b 7.684
_cell_length_c 7.684
_cell_angle_alpha 90.00
_cell_angle_beta 90.00
_cell_angle_gamma 90.00
loop_
_atom_site_label
_atom_site_type_symbol
_atom_site_fract_x
_atom_site_fract_y
_atom_site_fract_z
Y1 Y 0.000 0.000 0.000
Ho1 Ho 0.250 0.250 0.250
Cd1 Cd 0.000 0.000 0.500
```

9.
A relaxed Y2HoCd8 crystal, computed with PBE.

Computed properties:
Formation enthalpy at 0 K ... -187.8 meV/atom
Crystal system ... monoclinic

```
data_Y2HoCd8
_chemical_formula_sum 'Y4 Ho2 Cd16'
_symmetry_space_group_name_H-M 'C 1 2/m 1'
_symmetry_Int_Tables_number 12
_cell_length_a 16.356
_cell_length_b 5.079
_cell_length_c 7.280
_cell_angle_alpha 90.00
_cell_angle_beta 116.35
_cell_angle_gamma 90.00
loop_
_symmetry_equiv_pos_as_xyz
'x,y,z'
'-x,-y,-z'
'-x,y,-z'
'x,-y,z'
'x+1/2,y+1/2,z'
'-x+1/2,-y+1/2,-z'
'-x+1/2,y+1/2,-z'
'x+1/2,-y+1/2,z'
loop_
_atom_site_label
_atom_site_type_symbol
_atom_site_fract_x
_atom_site_fract_y
_atom_site_fract_z
Y1 Y 0.199 0.000 0.198
Ho1 Ho 0.000 0.500 0.500
Cd1 Cd 0.000 0.000 0.208
Cd2 Cd 0.141 0.500 0.935
Cd3 Cd 0.142 0.500 0.349
Cd4 Cd 0.156 0.000 0.655
```

10.
A relaxed Y3Ho4Cd crystal, computed with PBE.

Computed properties:
Formation enthalpy at 0 K ... 351.0 meV/atom
Crystal system ... orthorhombic

```
data_Y3Ho4Cd
_chemical_formula_sum 'Y6 Ho8 Cd2'
_symmetry_space_group_name_H-M 'I m m 2'
_symmetry_Int_Tables_number 44
_cell_length_a 6.142
_cell_length_b 8.802
_cell_length_c 9.921
_cell_angle_alpha 90.00
_cell_angle_beta 90.00
_cell_angle_gamma 90.00
loop_
_symmetry_equiv_pos_as_xyz
'x,y,z'
'-x,-y,z'
'-x,y,z'
'x,-y,z'
'x+1/2,y+1/2,z+1/2'
'-x+1/2,-y+1/2,z+1/2'
'-x+1/2,y+1/2,z+1/2'
'x+1/2,-y+1/2,z+1/2'
loop_
_atom_site_label
_atom_site_type_symbol
_atom_site_fract_x
_atom_site_fract_y
_atom_site_fract_z
Y1 Y 0.000 0.000 0.000
Y2 Y 0.000 0.188 0.347
Ho1 Ho 0.000 0.325 0.666
Ho2 Ho 0.248 0.000 0.674
Cd1 Cd 0.000 0.500 0.919
```

11.
A relaxed Y5Ho12Cd2 crystal, computed with PBE.

Computed properties:
Formation enthalpy at 0 K ... 46.6 meV/atom
Crystal system ... monoclinic

```
data_Y5Ho12Cd2
_chemical_formula_sum 'Y10 Ho24 Cd4'
_symmetry_space_group_name_H-M 'C 1 2/m 1'
_symmetry_Int_Tables_number 12
_cell_length_a 15.671
_cell_length_b 9.138
_cell_length_c 8.203
_cell_angle_alpha 90.00
_cell_angle_beta 90.84
_cell_angle_gamma 90.00
loop_
_symmetry_equiv_pos_as_xyz
'x,y,z'
'-x,-y,-z'
'-x,y,-z'
'x,-y,z'
'x+1/2,y+1/2,z'
'-x+1/2,-y+1/2,-z'
'-x+1/2,y+1/2,-z'
'x+1/2,-y+1/2,z'
loop_
_atom_site_label
_atom_site_type_symbol
_atom_site_fract_x
_atom_site_fract_y
_atom_site_fract_z
Y1 Y 0.000 0.000 0.000
Y2 Y 0.194 0.500 0.502
Y3 Y 0.237 0.000 0.081
Ho1 Ho 0.053 0.500 0.821
Ho2 Ho 0.089 0.000 0.395
Ho3 Ho 0.124 0.304 0.162
Ho4 Ho 0.153 0.186 0.743
Cd1 Cd 0.000 0.316 0.500
```

12.
A relaxed YHoCd3 crystal, computed with PBE.

Computed properties:
Formation enthalpy at 0 K ... -299.2 meV/atom
Crystal system ... orthorhombic

```
data_YHoCd3
_chemical_formula_sum 'Y4 Ho4 Cd12'
_symmetry_space_group_name_H-M 'C m c m'
_symmetry_Int_Tables_number 63
_symmetry_space_group_name_Hall '-C 2c 2'
_cell_length_a 3.489
_cell_length_b 29.346
_cell_length_c 4.951
_cell_angle_alpha 90.00
_cell_angle_beta 90.00
_cell_angle_gamma 90.00
loop_
_atom_site_label
_atom_site_type_symbol
_atom_site_fract_x
_atom_site_fract_y
_atom_site_fract_z
Y1 Y 0.000 0.075 0.250
Ho1 Ho 0.000 0.215 0.750
Cd1 Cd 0.000 0.325 0.750
Cd2 Cd 0.000 0.379 0.250
Cd3 Cd 0.000 0.476 0.250
```

Which of these has the highest formation enthalpy at 0 K? Y3Ho4Cd

Which value of formation enthalpy at 0 K does entry 12 give? -299.2 meV/atom